Material: Zr2NbH
Method: DFT, PBE
State: optimized geometry

The structure in CIF format:
```
data_Zr2NbH
_chemical_formula_sum 'Zr8 Nb4 H4'
_cell_length_a 6.491
_cell_length_b 6.491
_cell_length_c 6.545
_cell_angle_alpha 90.00
_cell_angle_beta 90.00
_cell_angle_gamma 90.00
_space_group_name_H-M_alt 'I -4 2 d'
_space_group_IT_number 122
_space_group_name_Hall 'I -4 2bw'
loop_
_atom_site_label
_atom_site_type_symbol
_atom_site_fract_x
_atom_site_fract_y
_atom_site_fract_z
_atom_site_occupancy
Zr1 Zr 0.160 0.750 0.125 1
Nb1 Nb 0.000 0.000 0.500 1
H1 H 0.000 0.000 0.000 1
```

Computed properties:
Distance to the lowest polymorph of the same formula: 0.009 eV/f.u.
E: -7.473 eV per atom